Entry from Alexandria via LeMat-Bulk: a relaxed MnZnO2 crystal (PBE+U).

Properties
Space-group type ... Pc
Calculated total energy ... -6.102 eV/atom
N(E_F) ... 0.0 states/eV/f.u.

Structure (extended XYZ):
```
8
Lattice="5.174 -0.285 -0.334 0.460 3.152 0.050 0.390 -0.160 6.190" Properties=species:S:1:pos:R:3 pbc="T T T"
O 1.075 0.189 1.040
O 4.483 2.146 2.589
Mn 2.399 2.229 2.715
O 4.187 1.500 5.585
Zn 2.668 0.099 5.672
Mn 4.838 0.480 3.809
O 1.746 0.679 4.003
Zn 5.186 1.657 0.790
```